Record 1
Computed, not measured: an optimized crystal structure of Al10Si2O19 at the PBE-GGA level of DFT.

- Uncorrected formation energy: -2.919 eV per atom
- DOS at the Fermi energy: 0.00 states/eV/cell
- Electronic total energy: -232.97 eV/cell
- V: 11.5 A^3/atom

The structure in CIF format:
```
data_Al10Si2O19
_space_group_name_H-M_alt 'P 1'
_space_group_IT_number 1
_cell_length_a 7.5179
_cell_length_b 2.9214
_cell_length_c 16.3022
_cell_angle_alpha 90.00
_cell_angle_beta 90.93
_cell_angle_gamma 90.00
loop_
_space_group_symop_operation_xyz
'x,y,z'
loop_
_atom_site_label
_atom_site_type_symbol
_atom_site_fract_x
_atom_site_fract_y
_atom_site_fract_z
Al1 Al 0.0000 0.0000 0.0000
Al2 Al 0.0051 0.0000 0.4715
Al3 Al 0.1362 0.5000 0.8378
Al4 Al 0.1595 0.5000 0.3138
Al5 Al 0.3045 0.0000 0.1572
Al6 Al 0.4172 0.0000 0.4511
Al7 Al 0.6338 0.5000 0.0624
Al8 Al 0.6897 0.5000 0.5741
Al9 Al 0.8050 0.0000 0.7411
Al10 Al 0.9069 0.0000 0.1768
Si1 Si 0.3135 0.0000 0.6236
Si2 Si 0.5084 0.0000 0.8887
O1 O 0.0121 0.5000 0.4143
O2 O 0.0131 0.0000 0.7945
O3 O 0.0256 0.0000 0.2692
O4 O 0.0626 0.5000 0.9450
O5 O 0.0904 0.0000 0.1015
O6 O 0.2258 0.0000 0.5293
O7 O 0.2569 0.5000 0.6675
O8 O 0.2922 0.0000 0.3619
O9 O 0.3038 0.0000 0.8502
O10 O 0.3063 0.5000 0.2166
O11 O 0.4847 0.0000 0.0889
O12 O 0.5163 0.5000 0.9419
O13 O 0.5284 0.0000 0.6124
O14 O 0.5377 0.5000 0.4744
O15 O 0.6498 0.0000 0.8186
O16 O 0.7704 0.0000 0.0179
O17 O 0.7797 0.5000 0.1592
O18 O 0.7909 0.5000 0.6814
O19 O 0.8256 0.0000 0.5397
```

Record 2
Computed, not measured: an optimized crystal structure of ZnBr3O at the PBE-GGA level of DFT.

- Uncorrected formation energy: 0.608 eV per atom
- DOS at the Fermi energy: 14.91 states/eV/cell
- Electronic total energy: -8.21 eV/cell
- V: 26.6 A^3/atom
- Relative energy among the computed polymorphs: 1.0533 eV/atom

The structure in CIF format:
```
data_ZnBr3O
_space_group_name_H-M_alt 'P 1'
_space_group_IT_number 1
_cell_length_a 5.1044
_cell_length_b 5.1044
_cell_length_c 5.1044
_cell_angle_alpha 90.00
_cell_angle_beta 90.00
_cell_angle_gamma 90.00
loop_
_space_group_symop_operation_xyz
'x,y,z'
loop_
_atom_site_label
_atom_site_type_symbol
_atom_site_fract_x
_atom_site_fract_y
_atom_site_fract_z
Zn1 Zn 0.0000 0.0000 0.0000
Br1 Br 0.0000 0.0000 0.5000
Br2 Br 0.0000 0.5000 0.0000
Br3 Br 0.5000 0.0000 0.0000
O1 O 0.5000 0.5000 0.5000
```

Record 3
Computed, not measured: an optimized crystal structure of Li2IrRh at the PBE-GGA level of DFT.

- DOS at the Fermi energy: 2.76 states/eV/cell
- Electronic total energy: -20.87 eV/cell
- V: 13.6 A^3/atom
- Relative energy among the computed polymorphs: 0.0083 eV/atom
- Formation enthalpy at 0 K: -208 meV/atom

The structure in CIF format:
```
data_Li2IrRh
_space_group_name_H-M_alt 'P 1'
_space_group_IT_number 1
_cell_length_a 2.6750
_cell_length_b 4.4529
_cell_length_c 4.5774
_cell_angle_alpha 90.00
_cell_angle_beta 90.00
_cell_angle_gamma 90.00
loop_
_space_group_symop_operation_xyz
'x,y,z'
loop_
_atom_site_label
_atom_site_type_symbol
_atom_site_fract_x
_atom_site_fract_y
_atom_site_fract_z
Li1 Li 0.0000 0.0000 0.0000
Li2 Li 0.5000 0.5000 0.1246
Ir1 Ir 0.5000 0.0000 0.5036
Rh1 Rh 0.0000 0.5000 0.6168
```

Record 4
Computed, not measured: an optimized crystal structure of Er6TlTe3As2 at the PBE-GGA level of DFT.

- Uncorrected formation energy: -1.210 eV per atom
- DOS at the Fermi energy: 3.40 states/eV/cell
- Electronic total energy: -62.99 eV/cell
- V: 27.3 A^3/atom

The structure in CIF format:
```
data_Er6TlTe3As2
_space_group_name_H-M_alt 'P 1'
_space_group_IT_number 1
_cell_length_a 9.5489
_cell_length_b 9.5489
_cell_length_c 8.6622
_cell_angle_alpha 103.59
_cell_angle_beta 103.59
_cell_angle_gamma 25.32
loop_
_space_group_symop_operation_xyz
'x,y,z'
loop_
_atom_site_label
_atom_site_type_symbol
_atom_site_fract_x
_atom_site_fract_y
_atom_site_fract_z
Er1 Er 0.0080 0.0080 0.2491
Er2 Er 0.3253 0.3253 0.4329
Er3 Er 0.3348 0.3348 0.8936
Er4 Er 0.6652 0.6652 0.1064
Er5 Er 0.6747 0.6747 0.5671
Er6 Er 0.9920 0.9920 0.7509
Tl1 Tl 0.5000 0.5000 0.0000
Te1 Te 0.1662 0.1662 0.8318
Te2 Te 0.5000 0.5000 0.5000
Te3 Te 0.8338 0.8338 0.1682
As1 As 0.1682 0.1682 0.3376
As2 As 0.8318 0.8318 0.6624
```

Record 5
Computed, not measured: an optimized crystal structure of SiSeN2O at the PBE-GGA level of DFT.

- Uncorrected formation energy: 2.037 eV per atom
- DOS at the Fermi energy: 3.55 states/eV/cell
- Electronic total energy: -20.33 eV/cell
- V: 11.7 A^3/atom

The structure in CIF format:
```
data_SiSeN2O
_space_group_name_H-M_alt 'P 1'
_space_group_IT_number 1
_cell_length_a 3.8629
_cell_length_b 3.8629
_cell_length_c 3.9155
_cell_angle_alpha 90.00
_cell_angle_beta 90.00
_cell_angle_gamma 90.00
loop_
_space_group_symop_operation_xyz
'x,y,z'
loop_
_atom_site_label
_atom_site_type_symbol
_atom_site_fract_x
_atom_site_fract_y
_atom_site_fract_z
Si1 Si 0.0000 0.0000 0.0000
Se1 Se 0.5000 0.5000 0.0000
N1 N 0.0000 0.5000 0.5000
N2 N 0.5000 0.0000 0.5000
O1 O 0.5000 0.5000 0.5000
```

Record 6
Computed, not measured: an optimized crystal structure of Cd2Ag13 at the PBE-GGA level of DFT.

- DOS at the Fermi energy: 4.97 states/eV/cell
- Electronic total energy: -38.88 eV/cell
- V: 18.2 A^3/atom
- Formation enthalpy at 0 K: 1 meV/atom

The structure in CIF format:
```
data_Cd2Ag13
_space_group_name_H-M_alt 'P 1'
_space_group_IT_number 1
_cell_length_a 5.0951
_cell_length_b 7.2400
_cell_length_c 7.8439
_cell_angle_alpha 107.55
_cell_angle_beta 96.71
_cell_angle_gamma 90.61
loop_
_space_group_symop_operation_xyz
'x,y,z'
loop_
_atom_site_label
_atom_site_type_symbol
_atom_site_fract_x
_atom_site_fract_y
_atom_site_fract_z
Cd1 Cd 0.0686 0.1374 0.3973
Cd2 Cd 0.9314 0.8626 0.6027
Ag1 Ag 0.0000 0.0000 0.0000
Ag2 Ag 0.1347 0.2680 0.8023
Ag3 Ag 0.2002 0.4026 0.1980
Ag4 Ag 0.2699 0.5340 0.6020
Ag5 Ag 0.3342 0.6671 0.0002
Ag6 Ag 0.3993 0.7989 0.3987
Ag7 Ag 0.4674 0.9340 0.8024
Ag8 Ag 0.5326 0.0660 0.1976
Ag9 Ag 0.6007 0.2011 0.6013
Ag10 Ag 0.6658 0.3329 0.9998
Ag11 Ag 0.7301 0.4660 0.3980
Ag12 Ag 0.7998 0.5974 0.8020
Ag13 Ag 0.8653 0.7320 0.1977
```

Record 7
Computed, not measured: an optimized crystal structure of Er2Sc4Tl at the PBE-GGA level of DFT.

- DOS at the Fermi energy: 24.91 states/eV/cell
- Electronic total energy: -66.46 eV/cell
- V: 29.4 A^3/atom
- Formation enthalpy at 0 K: 513 meV/atom

The structure in CIF format:
```
data_Er2Sc4Tl
_space_group_name_H-M_alt 'P 1'
_space_group_IT_number 1
_cell_length_a 5.9516
_cell_length_b 12.9065
_cell_length_c 5.3640
_cell_angle_alpha 90.00
_cell_angle_beta 90.00
_cell_angle_gamma 90.00
loop_
_space_group_symop_operation_xyz
'x,y,z'
loop_
_atom_site_label
_atom_site_type_symbol
_atom_site_fract_x
_atom_site_fract_y
_atom_site_fract_z
Er1 Er 0.0000 0.1290 0.0000
Er2 Er 0.0000 0.8710 0.0000
Er3 Er 0.5000 0.3710 0.0000
Er4 Er 0.5000 0.6290 0.0000
Sc1 Sc 0.0000 0.2659 0.5000
Sc2 Sc 0.0000 0.3739 0.0000
Sc3 Sc 0.0000 0.6261 0.0000
Sc4 Sc 0.0000 0.7341 0.5000
Sc5 Sc 0.5000 0.1261 0.0000
Sc6 Sc 0.5000 0.2341 0.5000
Sc7 Sc 0.5000 0.7659 0.5000
Sc8 Sc 0.5000 0.8739 0.0000
Tl1 Tl 0.0000 0.5000 0.5000
Tl2 Tl 0.5000 0.0000 0.5000
```

Record 8
Computed, not measured: an optimized crystal structure of Tb2ErAlS6 at the PBE-GGA level of DFT.

- Uncorrected formation energy: -1.751 eV per atom
- DOS at the Fermi energy: 0.00 states/eV/cell
- Electronic total energy: -59.84 eV/cell
- V: 23.2 A^3/atom

The structure in CIF format:
```
data_Tb2ErAlS6
_space_group_name_H-M_alt 'P 1'
_space_group_IT_number 1
_cell_length_a 7.0697
_cell_length_b 7.0697
_cell_length_c 7.0697
_cell_angle_alpha 56.84
_cell_angle_beta 56.84
_cell_angle_gamma 56.84
loop_
_space_group_symop_operation_xyz
'x,y,z'
loop_
_atom_site_label
_atom_site_type_symbol
_atom_site_fract_x
_atom_site_fract_y
_atom_site_fract_z
Tb1 Tb 0.0000 0.0000 0.0000
Tb2 Tb 0.4982 0.4982 0.4982
Er1 Er 0.2930 0.2930 0.2930
Al1 Al 0.7964 0.7964 0.7964
S1 S 0.0585 0.4374 0.6826
S2 S 0.1599 0.9091 0.5881
S3 S 0.4374 0.6826 0.0585
S4 S 0.5881 0.1599 0.9091
S5 S 0.6826 0.0585 0.4374
S6 S 0.9091 0.5881 0.1599
```

Record 9
Computed, not measured: an optimized crystal structure of RuAu2S at the PBE-GGA level of DFT.

- Uncorrected formation energy: 0.584 eV per atom
- DOS at the Fermi energy: 13.89 states/eV/cell
- Electronic total energy: -70.49 eV/cell
- V: 17.7 A^3/atom

The structure in CIF format:
```
data_RuAu2S
_space_group_name_H-M_alt 'P 1'
_space_group_IT_number 1
_cell_length_a 7.3962
_cell_length_b 7.3962
_cell_length_c 5.1641
_cell_angle_alpha 90.00
_cell_angle_beta 90.00
_cell_angle_gamma 90.00
loop_
_space_group_symop_operation_xyz
'x,y,z'
loop_
_atom_site_label
_atom_site_type_symbol
_atom_site_fract_x
_atom_site_fract_y
_atom_site_fract_z
Ru1 Ru 0.0000 0.0000 0.0000
Ru2 Ru 0.0000 0.5000 0.2500
Ru3 Ru 0.5000 0.0000 0.7500
Ru4 Ru 0.5000 0.5000 0.5000
Au1 Au 0.2276 0.2500 0.6250
Au2 Au 0.2500 0.7276 0.8750
Au3 Au 0.2500 0.7724 0.3750
Au4 Au 0.2724 0.2500 0.1250
Au5 Au 0.7276 0.7500 0.1250
Au6 Au 0.7500 0.2276 0.3750
Au7 Au 0.7500 0.2724 0.8750
Au8 Au 0.7724 0.7500 0.6250
S1 S 0.0000 0.0000 0.5000
S2 S 0.0000 0.5000 0.7500
S3 S 0.5000 0.0000 0.2500
S4 S 0.5000 0.5000 0.0000
```

Record 10
Computed, not measured: an optimized crystal structure of AcPr5Er3 at the PBE-GGA level of DFT.

- DOS at the Fermi energy: 25.90 states/eV/cell
- Electronic total energy: -81.99 eV/cell
- V: 35.1 A^3/atom
- Formation enthalpy at 0 K: 77 meV/atom

The structure in CIF format:
```
data_AcPr5Er3
_space_group_name_H-M_alt 'P 1'
_space_group_IT_number 1
_cell_length_a 9.2573
_cell_length_b 9.2573
_cell_length_c 9.2219
_cell_angle_alpha 114.30
_cell_angle_beta 114.30
_cell_angle_gamma 66.64
loop_
_space_group_symop_operation_xyz
'x,y,z'
loop_
_atom_site_label
_atom_site_type_symbol
_atom_site_fract_x
_atom_site_fract_y
_atom_site_fract_z
Ac1 Ac 0.0960 0.9040 0.7500
Ac2 Ac 0.9040 0.0960 0.2500
Pr1 Pr 0.0548 0.2735 0.0693
Pr2 Pr 0.2531 0.3902 0.8944
Pr3 Pr 0.2735 0.0548 0.5693
Pr4 Pr 0.3902 0.2531 0.3944
Pr5 Pr 0.4412 0.5588 0.7500
Pr6 Pr 0.5588 0.4412 0.2500
Pr7 Pr 0.6098 0.7469 0.6056
Pr8 Pr 0.7265 0.9452 0.4307
Pr9 Pr 0.7469 0.6098 0.1056
Pr10 Pr 0.9452 0.7265 0.9307
Er1 Er 0.0000 0.5000 0.5000
Er2 Er 0.1681 0.6635 0.3373
Er3 Er 0.3365 0.8319 0.1627
Er4 Er 0.5000 0.0000 0.0000
Er5 Er 0.6635 0.1681 0.8373
Er6 Er 0.8319 0.3365 0.6627
```

Record 11
Computed, not measured: an optimized crystal structure of RbSr2Zn2 at the PBE-GGA level of DFT.

- DOS at the Fermi energy: 6.48 states/eV/cell
- Electronic total energy: -13.82 eV/cell
- V: 38.0 A^3/atom
- Relative energy among the computed polymorphs: 0.0000 eV/atom
- Formation enthalpy at 0 K: -6 meV/atom

The structure in CIF format:
```
data_RbSr2Zn2
_space_group_name_H-M_alt 'P 1'
_space_group_IT_number 1
_cell_length_a 9.0807
_cell_length_b 9.0807
_cell_length_c 4.6062
_cell_angle_alpha 90.00
_cell_angle_beta 90.00
_cell_angle_gamma 90.00
loop_
_space_group_symop_operation_xyz
'x,y,z'
loop_
_atom_site_label
_atom_site_type_symbol
_atom_site_fract_x
_atom_site_fract_y
_atom_site_fract_z
Rb1 Rb 0.0000 0.0000 0.0000
Rb2 Rb 0.5000 0.5000 0.0000
Sr1 Sr 0.1624 0.3376 0.5000
Sr2 Sr 0.3376 0.8376 0.5000
Sr3 Sr 0.6624 0.1624 0.5000
Sr4 Sr 0.8376 0.6624 0.5000
Zn1 Zn 0.1075 0.6075 0.0000
Zn2 Zn 0.3925 0.1075 0.0000
Zn3 Zn 0.6075 0.8925 0.0000
Zn4 Zn 0.8925 0.3925 0.0000
```

Record 12
Computed, not measured: an optimized crystal structure of BaLiSbTe3 at the PBE-GGA level of DFT.

- Uncorrected formation energy: -0.869 eV per atom
- Electronic total energy: -45.20 eV/cell
- V: 34.5 A^3/atom

The structure in CIF format:
```
data_BaLiSbTe3
_space_group_name_H-M_alt 'P 1'
_space_group_IT_number 1
_cell_length_a 9.3890
_cell_length_b 4.5645
_cell_length_c 10.0334
_cell_angle_alpha 90.00
_cell_angle_beta 105.41
_cell_angle_gamma 90.00
loop_
_space_group_symop_operation_xyz
'x,y,z'
loop_
_atom_site_label
_atom_site_type_symbol
_atom_site_fract_x
_atom_site_fract_y
_atom_site_fract_z
Ba1 Ba 0.2001 0.2500 0.2553
Ba2 Ba 0.7999 0.7500 0.7447
Li1 Li 0.0865 0.2500 0.5944
Li2 Li 0.9135 0.7500 0.4056
Sb1 Sb 0.3248 0.7500 0.8505
Sb2 Sb 0.6752 0.2500 0.1495
Te1 Te 0.1092 0.2500 0.8821
Te2 Te 0.2201 0.7500 0.5244
Te3 Te 0.4522 0.7500 0.1632
Te4 Te 0.5478 0.2500 0.8368
Te5 Te 0.7799 0.2500 0.4756
Te6 Te 0.8908 0.7500 0.1179
```